1.
Computed, not measured: Pm2GaBr3 after structural relaxation at the GGA-PBE level of DFT.

abc: 19.4840 4.3312 12.9598
angles: 90.00 129.89 90.00
Last column: nearest neighbours and their distance in Å.
Space group C2/m (No. 12)
Symmetry-distinct sites (fractional):
Pm 0.1188 0.0000 0.4501 (multiplicity 4)  5 Br 2.97-3.24, 2 Ga 2.98-3.05
Pm 0.1277 0.5000 0.8107 (multiplicity 4)  2 Ga 2.92, 4 Br 2.96-3.08
Ga 0.0627 0.0000 0.6167 (multiplicity 4)  1 Ga 2.37
Br 0.0438 0.5000 0.2413 (multiplicity 4)  3 Pm 2.96-3.01
Br 0.1735 0.0000 0.0152 (multiplicity 4)  3 Pm 2.98-3.08
Br 0.2489 0.5000 0.6204 (multiplicity 4)  3 Pm 2.97-3.24

- formation energy from raw total energies (eV per formula unit) = -7.80
- VASP energy (eV per atom) = -4.224

2.
Computed, not measured: ZrAl3Te after structural relaxation at the GGA-PBE level of DFT.

abc: 5.3393 5.3393 5.3393
angles: 90.00 90.00 90.00
Last column: nearest neighbours and their distance in Å.
Space group Pm-3m (No. 221)
Symmetry-distinct sites (fractional):
Zr 0.0000 0.0000 0.0000 (multiplicity 1)  6 Al 2.67
Al 0.0000 0.0000 0.5000 (multiplicity 3)  2 Zr 2.67
Te 0.5000 0.5000 0.5000 (multiplicity 1)  12 Al 3.78

- formation energy from raw total energies (eV per formula unit) = 4.56
- VASP energy (eV per atom) = -3.672
- DOS at the Fermi energy (states/eV/cell) = 6.821

3.
Computed, not measured: SmTmTh4 after structural relaxation at the GGA-PBE level of DFT.

abc: 3.5772 3.5772 15.0951
angles: 90.00 90.00 90.00
Last column: nearest neighbours and their distance in Å.
Space group P4/mmm (No. 123)
Symmetry-distinct sites (fractional):
Sm 0.0000 0.0000 0.0000 (multiplicity 1)  4 Sm 3.58, 8 Th 3.63
Tm 0.5000 0.5000 0.5000 (multiplicity 1)  8 Th 3.55, 4 Tm 3.58
Th 0.0000 0.0000 0.3347 (multiplicity 2)  8 Th 3.52-3.58, 4 Tm 3.55
Th 0.5000 0.5000 0.1724 (multiplicity 2)  8 Th 3.52-3.58, 4 Sm 3.63

- ΔE_f (eV/atom) = 0.04
- VASP energy (eV per atom) = -6.438
- DOS at the Fermi energy (states/eV/cell) = 7.190

4.
Computed, not measured: PaAg3Br6Cl2 after structural relaxation at the GGA-PBE level of DFT.

abc: 14.6190 8.1340 7.0676
angles: 90.00 111.35 90.00
Last column: nearest neighbours and their distance in Å.
Space group C2/m (No. 12)
Symmetry-distinct sites (fractional):
Pa 0.0000 0.0000 0.0000 (multiplicity 2)  6 Br 2.72-2.77
Ag 0.0000 0.5000 0.5000 (multiplicity 2)  2 Cl 2.42
Ag 0.2500 0.2500 0.0000 (multiplicity 4)  2 Cl 2.61
Br 0.1119 0.0000 0.7569 (multiplicity 4)  1 Pa 2.77, 2 Ag 2.94
Br 0.1131 0.2376 0.2453 (multiplicity 8)  1 Pa 2.72
Cl 0.1530 0.5000 0.7891 (multiplicity 4)  3 Ag 2.42-2.61

- formation energy from raw total energies (eV per formula unit) = -10.83
- VASP energy (eV per atom) = -3.551

Question: Among the records above, which one has the highest VASP energy?
Answer: PaAg3Br6Cl2